(1)
FeCuP2Cl, PBEsol geometry, DFT SCAN; E = -11.80 eV/atom
1.0
4.162 0.000 0.000
0.000 4.162 0.000
0.000 0.000 4.874
Fe Cu P Cl
1 1 2 1
Direct
0.000 0.000 0.000
0.500 0.500 0.500
0.000 0.500 0.000
0.500 0.000 0.000
0.000 0.000 0.500



(2)
Be2CoRu, PBEsol geometry, DFT SCAN; energy of formation from the pure elements = -0.28 eV per atom; E = -15.49 eV/atom
1.0
3.745 0.000 0.000
0.000 3.745 0.000
0.000 0.000 2.726
Be Co Ru
2 1 1
Direct
0.000 0.500 0.000
0.500 0.000 0.000
0.000 0.000 0.500
0.500 0.500 0.500



(3)
LiNbCrI2, PBEsol geometry, DFT SCAN; E = -24.74 eV/atom
1.0
5.344 0.000 0.000
0.000 5.344 0.000
0.000 0.000 5.293
Li Nb Cr I
1 1 1 2
Direct
0.000 0.000 0.000
0.000 0.000 0.500
0.500 0.500 0.000
0.000 0.500 0.500
0.500 0.000 0.500



(4)
MnHgW, PBEsol geometry, DFT SCAN; offset from the most stable computed form = 0.0 meV per atom; energy of formation from the pure elements = 0.50 eV per atom; E = -51.54 eV/atom
1.0
2.921 0.000 0.000
-1.460 2.530 0.000
0.000 0.000 6.539
Mn Hg W
1 1 1
Direct
0.000 0.000 0.000
0.667 0.333 0.349
0.333 0.667 0.733



(5)
RbAuCl2, PBEsol geometry, DFT SCAN; E = -27.65 eV/atom
1.0
2.627 1.517 6.955
-2.627 1.517 6.955
0.000 -3.034 6.955
Rb Au Cl
1 1 2
Direct
0.000 0.000 0.000
0.500 0.500 0.500
0.392 0.392 0.392
0.608 0.608 0.608



(6)
Sc2CoGeP, PBEsol geometry, DFT SCAN; energy of formation from the pure elements = -0.33 eV per atom; E = -15.38 eV/atom
1.0
4.704 0.000 0.000
0.000 4.704 0.000
0.000 0.000 4.235
Sc Co Ge P
2 1 1 1
Direct
0.000 0.500 0.000
0.500 0.000 0.000
0.000 0.000 0.000
0.000 0.000 0.500
0.500 0.500 0.500



(7)
NaY2Cl, PBEsol geometry, DFT SCAN; E = -16.99 eV/atom
1.0
0.000 3.742 3.742
3.742 0.000 3.742
3.742 3.742 0.000
Na Y Cl
1 2 1
Direct
0.000 0.000 0.000
0.250 0.250 0.250
0.750 0.750 0.750
0.500 0.500 0.500



(8)
TaCdHg2, PBEsol geometry, DFT SCAN; energy of formation from the pure elements = 0.30 eV per atom; E = -58.03 eV/atom
1.0
5.662 -1.426 0.000
5.662 1.426 0.000
-2.420 0.000 4.827
Ta Cd Hg
1 1 2
Direct
0.000 0.000 0.000
0.261 0.261 0.571
0.502 0.502 0.487
0.741 0.741 0.049



(9)
SiOs2Pb, PBEsol geometry, DFT SCAN; E = -56.74 eV/atom
1.0
3.004 0.000 0.000
0.000 4.542 0.000
-0.641 0.000 4.803
Si Os Pb
1 2 1
Direct
0.000 0.000 0.000
0.066 0.500 0.221
0.607 0.000 0.397
0.504 0.500 0.732



(10)
K2CdHg, PBEsol geometry, DFT SCAN; energy of formation from the pure elements = -0.12 eV per atom; E = -28.93 eV/atom
1.0
-2.578 2.578 4.817
2.578 -2.578 4.817
2.578 2.578 -4.817
K Cd Hg
2 1 1
Direct
0.000 0.000 0.000
0.750 0.250 0.500
0.500 0.500 0.000
0.250 0.750 0.500



(11)
CrMoSeN2, PBEsol geometry, DFT SCAN; E = -18.17 eV/atom
1.0
3.835 0.000 0.000
0.000 3.835 0.000
0.000 0.000 5.232
Cr Mo Se N
1 1 1 2
Direct
0.000 0.000 0.000
0.500 0.500 0.500
0.500 0.500 0.000
0.000 0.500 0.500
0.500 0.000 0.500



(12)
Nd3S4, PBEsol geometry, DFT SCAN; E = -26.49 eV/atom
1.0
-4.225 4.225 4.225
4.225 -4.225 4.225
4.225 4.225 -4.225
Nd S
6 8
Direct
0.125 0.750 0.875
0.250 0.625 0.375
0.375 0.250 0.625
0.625 0.375 0.250
0.750 0.875 0.125
0.875 0.125 0.750
0.000 0.348 0.500
0.000 0.848 0.500
0.152 0.152 0.152
0.348 0.500 0.000
0.500 0.000 0.348
0.500 0.000 0.848
0.652 0.652 0.652
0.848 0.500 0.000



Question: Which of these has the lowest E?
Answer: TaCdHg2